(1)
A relaxed LiCrReGe crystal, computed with GGA-PBE.

```
data_LiCrReGe
_chemical_formula_sum 'Li4 Cr4 Re4 Ge4'
_symmetry_space_group_name_H-M 'P 1'
_symmetry_Int_Tables_number 1
_symmetry_space_group_name_Hall 'P 1'
_cell_length_a 5.943
_cell_length_b 5.943
_cell_length_c 5.943
_cell_angle_alpha 90.00
_cell_angle_beta 90.00
_cell_angle_gamma 90.00
loop_
_atom_site_label
_atom_site_type_symbol
_atom_site_fract_x
_atom_site_fract_y
_atom_site_fract_z
Li1 Li 0.000 0.000 0.000
Li2 Li 0.000 0.500 0.500
Li3 Li 0.500 0.000 0.500
Li4 Li 0.500 0.500 0.000
Cr1 Cr 0.250 0.250 0.250
Cr2 Cr 0.250 0.750 0.750
Cr3 Cr 0.750 0.250 0.750
Cr4 Cr 0.750 0.750 0.250
Re1 Re 0.000 0.000 0.500
Re2 Re 0.000 0.500 0.000
Re3 Re 0.500 0.000 0.000
Re4 Re 0.500 0.500 0.500
Ge1 Ge 0.250 0.250 0.750
Ge2 Ge 0.250 0.750 0.250
Ge3 Ge 0.750 0.250 0.250
Ge4 Ge 0.750 0.750 0.750
```

Results
Calculated volume   52.48 Å³/f.u.
Energy of formation from the pure elements   -2 meV/atom

(2)
A relaxed K4Rb2AgAu2 crystal, computed with GGA-PBE.

```
data_K4Rb2AgAu2
_chemical_formula_sum 'K4 Rb2 Ag1 Au2'
_symmetry_space_group_name_H-M 'P 1'
_symmetry_Int_Tables_number 1
_symmetry_space_group_name_Hall 'P 1'
_cell_length_a 6.221
_cell_length_b 8.013
_cell_length_c 10.306
_cell_angle_alpha 100.90
_cell_angle_beta 103.30
_cell_angle_gamma 103.76
loop_
_atom_site_label
_atom_site_type_symbol
_atom_site_fract_x
_atom_site_fract_y
_atom_site_fract_z
K1 K 0.025 0.231 0.443
K2 K 0.183 0.761 0.178
K3 K 0.817 0.239 0.822
K4 K 0.975 0.769 0.557
Rb1 Rb 0.478 0.327 0.185
Rb2 Rb 0.522 0.673 0.815
Ag1 Ag 0.500 0.000 0.500
Au1 Au 0.412 0.637 0.465
Au2 Au 0.588 0.363 0.535
```

Results
Calculated volume   469.20 Å³/f.u.
Energy of formation from the pure elements   -109 meV/atom

(3)
A relaxed VNi2H3 crystal, computed with GGA-PBE.

```
data_VNi2H3
_chemical_formula_sum 'V4 Ni8 H12'
_symmetry_space_group_name_H-M 'P 1'
_symmetry_Int_Tables_number 1
_symmetry_space_group_name_Hall 'P 1'
_cell_length_a 5.452
_cell_length_b 3.714
_cell_length_c 8.124
_cell_angle_alpha 90.00
_cell_angle_beta 90.00
_cell_angle_gamma 90.00
loop_
_atom_site_label
_atom_site_type_symbol
_atom_site_fract_x
_atom_site_fract_y
_atom_site_fract_z
V1 V 0.115 0.250 0.075
V2 V 0.385 0.750 0.575
V3 V 0.615 0.250 0.425
V4 V 0.885 0.750 0.925
Ni1 Ni 0.116 0.250 0.413
Ni2 Ni 0.128 0.250 0.748
Ni3 Ni 0.372 0.750 0.248
Ni4 Ni 0.384 0.750 0.913
Ni5 Ni 0.616 0.250 0.087
Ni6 Ni 0.628 0.250 0.752
Ni7 Ni 0.872 0.750 0.252
Ni8 Ni 0.884 0.750 0.587
H1 H 0.100 0.750 0.417
H2 H 0.108 0.750 0.093
H3 H 0.120 0.750 0.745
H4 H 0.380 0.250 0.245
H5 H 0.392 0.250 0.593
H6 H 0.400 0.250 0.917
H7 H 0.600 0.750 0.083
H8 H 0.608 0.750 0.407
H9 H 0.620 0.750 0.755
H10 H 0.880 0.250 0.255
H11 H 0.892 0.250 0.907
H12 H 0.900 0.250 0.583
```

Results
Raw total energy   -125.475 eV/cell
Calculated volume   41.13 Å³/f.u.

(4)
A relaxed AlTc2Ag crystal, computed with GGA-PBE.

```
data_AlTc2Ag
_chemical_formula_sum 'Al2 Tc4 Ag2'
_symmetry_space_group_name_H-M 'P 1'
_symmetry_Int_Tables_number 1
_symmetry_space_group_name_Hall 'P 1'
_cell_length_a 3.122
_cell_length_b 4.511
_cell_length_c 8.595
_cell_angle_alpha 90.00
_cell_angle_beta 90.00
_cell_angle_gamma 90.00
loop_
_atom_site_label
_atom_site_type_symbol
_atom_site_fract_x
_atom_site_fract_y
_atom_site_fract_z
Al1 Al 0.000 0.000 0.000
Al2 Al 0.500 0.500 0.500
Tc1 Tc 0.000 0.000 0.483
Tc2 Tc 0.000 0.500 0.744
Tc3 Tc 0.500 0.000 0.244
Tc4 Tc 0.500 0.500 0.983
Ag1 Ag 0.000 0.500 0.256
Ag2 Ag 0.500 0.000 0.756
```

Results
Calculated volume   60.53 Å³/f.u.
Energy of formation from the pure elements   143 meV/atom

(5)
A relaxed Hf2TlAg crystal, computed with GGA-PBE.

```
data_Hf2TlAg
_chemical_formula_sum 'Hf8 Tl4 Ag4'
_symmetry_space_group_name_H-M 'P 1'
_symmetry_Int_Tables_number 1
_symmetry_space_group_name_Hall 'P 1'
_cell_length_a 7.830
_cell_length_b 7.830
_cell_length_c 5.955
_cell_angle_alpha 90.00
_cell_angle_beta 90.00
_cell_angle_gamma 90.00
loop_
_atom_site_label
_atom_site_type_symbol
_atom_site_fract_x
_atom_site_fract_y
_atom_site_fract_z
Hf1 Hf 0.233 0.250 0.125
Hf2 Hf 0.250 0.733 0.375
Hf3 Hf 0.250 0.767 0.875
Hf4 Hf 0.267 0.250 0.625
Hf5 Hf 0.733 0.750 0.625
Hf6 Hf 0.750 0.233 0.875
Hf7 Hf 0.750 0.267 0.375
Hf8 Hf 0.767 0.750 0.125
Tl1 Tl 0.000 0.000 0.500
Tl2 Tl 0.000 0.500 0.750
Tl3 Tl 0.500 0.000 0.250
Tl4 Tl 0.500 0.500 0.000
Ag1 Ag 0.000 0.000 0.000
Ag2 Ag 0.000 0.500 0.250
Ag3 Ag 0.500 0.000 0.750
Ag4 Ag 0.500 0.500 0.500
```

Results
Calculated volume   91.27 Å³/f.u.
Energy of formation from the pure elements   434 meV/atom

(6)
A relaxed Li2PrMg2 crystal, computed with GGA-PBE.

```
data_Li2PrMg2
_chemical_formula_sum 'Li4 Pr2 Mg4'
_symmetry_space_group_name_H-M 'P 1'
_symmetry_Int_Tables_number 1
_symmetry_space_group_name_Hall 'P 1'
_cell_length_a 3.533
_cell_length_b 3.533
_cell_length_c 19.516
_cell_angle_alpha 90.00
_cell_angle_beta 90.00
_cell_angle_gamma 90.00
loop_
_atom_site_label
_atom_site_type_symbol
_atom_site_fract_x
_atom_site_fract_y
_atom_site_fract_z
Li1 Li 0.000 0.000 0.208
Li2 Li 0.000 0.000 0.792
Li3 Li 0.500 0.500 0.292
Li4 Li 0.500 0.500 0.708
Pr1 Pr 0.000 0.000 0.000
Pr2 Pr 0.500 0.500 0.500
Mg1 Mg 0.000 0.000 0.378
Mg2 Mg 0.000 0.000 0.622
Mg3 Mg 0.500 0.500 0.122
Mg4 Mg 0.500 0.500 0.878
```

Results
Distance to the lowest polymorph of the same formula   0 kJ/mol of formula units
Calculated volume   121.83 Å³/f.u.
Energy of formation from the pure elements   -40 meV/atom

(7)
A relaxed MnCu2Ir crystal, computed with GGA-PBE.

```
data_MnCu2Ir
_chemical_formula_sum 'Mn2 Cu4 Ir2'
_symmetry_space_group_name_H-M 'P 1'
_symmetry_Int_Tables_number 1
_symmetry_space_group_name_Hall 'P 1'
_cell_length_a 2.754
_cell_length_b 4.410
_cell_length_c 8.743
_cell_angle_alpha 90.00
_cell_angle_beta 90.00
_cell_angle_gamma 90.00
loop_
_atom_site_label
_atom_site_type_symbol
_atom_site_fract_x
_atom_site_fract_y
_atom_site_fract_z
Mn1 Mn 0.000 0.000 0.000
Mn2 Mn 0.500 0.500 0.000
Cu1 Cu 0.000 0.500 0.242
Cu2 Cu 0.000 0.500 0.758
Cu3 Cu 0.500 0.000 0.242
Cu4 Cu 0.500 0.000 0.758
Ir1 Ir 0.000 0.000 0.500
Ir2 Ir 0.500 0.500 0.500
```

Results
Calculated volume   53.08 Å³/f.u.
Energy of formation from the pure elements   251 meV/atom

(8)
A relaxed Li6TbIn6 crystal, computed with GGA-PBE.

```
data_Li6TbIn6
_chemical_formula_sum 'Li6 Tb1 In6'
_symmetry_space_group_name_H-M 'P 1'
_symmetry_Int_Tables_number 1
_symmetry_space_group_name_Hall 'P 1'
_cell_length_a 7.369
_cell_length_b 7.369
_cell_length_c 7.369
_cell_angle_alpha 134.19
_cell_angle_beta 99.34
_cell_angle_gamma 98.08
loop_
_atom_site_label
_atom_site_type_symbol
_atom_site_fract_x
_atom_site_fract_y
_atom_site_fract_z
Li1 Li 0.000 0.000 0.500
Li2 Li 0.000 0.500 0.000
Li3 Li 0.231 0.231 0.000
Li4 Li 0.500 0.000 0.000
Li5 Li 0.500 0.500 0.500
Li6 Li 0.769 0.769 0.000
Tb1 Tb 0.000 0.500 0.500
In1 In 0.194 0.000 0.194
In2 In 0.340 0.840 0.500
In3 In 0.343 0.500 0.843
In4 In 0.657 0.500 0.157
In5 In 0.660 0.160 0.500
In6 In 0.806 0.000 0.806
```

Results
Calculated volume   264.23 Å³/f.u.
Energy of formation from the pure elements   -299 meV/atom

(9)
A relaxed Sr3CaP2N6 crystal, computed with GGA-PBE.

```
data_Sr3CaP2N6
_chemical_formula_sum 'Sr3 Ca1 P2 N6'
_symmetry_space_group_name_H-M 'P 1'
_symmetry_Int_Tables_number 1
_symmetry_space_group_name_Hall 'P 1'
_cell_length_a 5.905
_cell_length_b 5.905
_cell_length_c 6.813
_cell_angle_alpha 90.00
_cell_angle_beta 90.00
_cell_angle_gamma 120.00
loop_
_atom_site_label
_atom_site_type_symbol
_atom_site_fract_x
_atom_site_fract_y
_atom_site_fract_z
Sr1 Sr 0.000 0.000 0.000
Sr2 Sr 0.333 0.667 0.710
Sr3 Sr 0.667 0.333 0.290
Ca1 Ca 0.000 0.000 0.500
P1 P 0.333 0.667 0.258
P2 P 0.667 0.333 0.742
N1 N 0.179 0.357 0.267
N2 N 0.179 0.821 0.267
N3 N 0.357 0.179 0.733
N4 N 0.643 0.821 0.267
N5 N 0.821 0.179 0.733
N6 N 0.821 0.643 0.733
```

Results
Formation energy from raw total energies   -0.9012 eV per atom
Calculated volume   205.73 Å³/f.u.

(10)
A relaxed Ni2TeBr crystal, computed with GGA-PBE.

```
data_Ni2TeBr
_chemical_formula_sum 'Ni2 Te1 Br1'
_symmetry_space_group_name_H-M 'P 1'
_symmetry_Int_Tables_number 1
_symmetry_space_group_name_Hall 'P 1'
_cell_length_a 3.370
_cell_length_b 3.370
_cell_length_c 7.188
_cell_angle_alpha 90.00
_cell_angle_beta 90.00
_cell_angle_gamma 90.00
loop_
_atom_site_label
_atom_site_type_symbol
_atom_site_fract_x
_atom_site_fract_y
_atom_site_fract_z
Ni1 Ni 0.000 0.000 0.000
Ni2 Ni 0.500 0.500 0.175
Te1 Te 0.000 0.000 0.340
Br1 Br 0.500 0.500 0.830
```

Results
Formation energy from raw total energies   0.0006 eV per atom
Distance to the lowest polymorph of the same formula   34 kJ/mol of formula units
Calculated volume   81.61 Å³/f.u.

(11)
A relaxed Ba2Li3CuF12 crystal, computed with GGA-PBE.

```
data_Ba2Li3CuF12
_chemical_formula_sum 'Ba2 Li3 Cu1 F12'
_symmetry_space_group_name_H-M 'P 1'
_symmetry_Int_Tables_number 1
_symmetry_space_group_name_Hall 'P 1'
_cell_length_a 6.974
_cell_length_b 6.974
_cell_length_c 6.974
_cell_angle_alpha 62.62
_cell_angle_beta 62.62
_cell_angle_gamma 62.62
loop_
_atom_site_label
_atom_site_type_symbol
_atom_site_fract_x
_atom_site_fract_y
_atom_site_fract_z
Ba1 Ba 0.146 0.146 0.146
Ba2 Ba 0.854 0.854 0.854
Li1 Li 0.000 0.500 0.500
Li2 Li 0.500 0.000 0.500
Li3 Li 0.500 0.500 0.000
Cu1 Cu 0.500 0.500 0.500
F1 F 0.131 0.131 0.559
F2 F 0.131 0.559 0.131
F3 F 0.197 0.563 0.563
F4 F 0.437 0.437 0.803
F5 F 0.437 0.803 0.437
F6 F 0.441 0.869 0.869
F7 F 0.559 0.131 0.131
F8 F 0.563 0.197 0.563
F9 F 0.563 0.563 0.197
F10 F 0.803 0.437 0.437
F11 F 0.869 0.441 0.869
F12 F 0.869 0.869 0.441
```

Results
Formation energy from raw total energies   -2.5090 eV per atom
Calculated volume   253.89 Å³/f.u.

(12)
A relaxed LaCS2 crystal, computed with GGA-PBE.

```
data_LaCS2
_chemical_formula_sum 'La4 C4 S8'
_symmetry_space_group_name_H-M 'P 1'
_symmetry_Int_Tables_number 1
_symmetry_space_group_name_Hall 'P 1'
_cell_length_a 5.401
_cell_length_b 5.401
_cell_length_c 11.930
_cell_angle_alpha 90.00
_cell_angle_beta 90.00
_cell_angle_gamma 90.00
loop_
_atom_site_label
_atom_site_type_symbol
_atom_site_fract_x
_atom_site_fract_y
_atom_site_fract_z
La1 La 0.000 0.000 0.000
La2 La 0.000 0.500 0.250
La3 La 0.500 0.000 0.750
La4 La 0.500 0.500 0.500
C1 C 0.000 0.000 0.500
C2 C 0.000 0.500 0.750
C3 C 0.500 0.000 0.250
C4 C 0.500 0.500 0.000
S1 S 0.135 0.250 0.625
S2 S 0.250 0.635 0.875
S3 S 0.250 0.865 0.375
S4 S 0.365 0.250 0.125
S5 S 0.635 0.750 0.125
S6 S 0.750 0.135 0.375
S7 S 0.750 0.365 0.875
S8 S 0.865 0.750 0.625
```

Results
Formation energy from raw total energies   0.2636 eV per atom
Calculated volume   87.00 Å³/f.u.

Question: Among the records above, which one has the highest calculated volume?
Answer: K4Rb2AgAu2